No. 1
# GdTl2Cd

An optimized crystal structure of GdTl2Cd (GGA-PBE, Alexandria via LeMat-Bulk).

Computed properties:
* magnetization: 1.79 μB/atom
* E_form: -267 meV/atom
* energy relative to the lowest polymorph listed for this composition: 0 meV per atom
* V: 104.9 Å³/cell

a = 4.7914 Å, b = 4.7914 Å, c = 4.5679 Å
α = 90.00°, β = 90.00°, γ = 90.00°
Last column: nearest neighbours and their distance in Å.
Space group P4/mmm (No. 123)
Inequivalent atoms, fractional coordinates:
Gd  0.0000  0.0000  0.0000  8 Tl 3.31, 4 Cd 3.39
Tl  0.0000  0.5000  0.5000  4 Cd 3.31, 4 Gd 3.31, 4 Tl 3.39
Cd  0.5000  0.5000  0.0000  8 Tl 3.31, 4 Gd 3.39

=====

No. 2
# ErUOs

An optimized crystal structure of ErUOs (GGA-PBE, Alexandria via LeMat-Bulk).

Computed properties:
* magnetization: 0.33 μB/atom
* E_form: 239 meV/atom
* energy relative to the lowest polymorph listed for this composition: 259 meV per atom
* V: 320.5 Å³/cell

a = 3.7078 Å, b = 3.7078 Å, c = 23.3135 Å
α = 90.00°, β = 90.00°, γ = 90.00°
Last column: nearest neighbours and their distance in Å.
Space group I4/mmm (No. 139)
Inequivalent atoms, fractional coordinates:
Er  0.0000  0.0000  0.0771  1 Os 2.85
U  0.0000  0.0000  0.3265  5 Os 2.69-2.96
Os  0.0000  0.0000  0.1994  5 U 2.69-2.96, 1 Er 2.85

=====

No. 3
# Zn3In

An optimized crystal structure of Zn3In (GGA-PBE, Alexandria via LeMat-Bulk).

Computed properties:
* magnetization: 0.00 μB/atom
* E_form: 104 meV/atom
* V: 144.2 Å³/cell

a = 4.1621 Å, b = 4.1621 Å, c = 8.3225 Å
α = 90.00°, β = 90.00°, γ = 90.00°
Last column: nearest neighbours and their distance in Å.
Space group I4/mmm (No. 139)
Inequivalent atoms, fractional coordinates:
Zn  0.0000  0.0000  0.0000  8 Zn 2.94, 4 In 2.94
Zn  0.0000  0.5000  0.2500  4 In 2.94, 8 Zn 2.94
In  0.0000  0.0000  0.5000  12 Zn 2.94

=====

No. 4
# BeVCl2

An optimized crystal structure of BeVCl2 (GGA-PBE, Alexandria via LeMat-Bulk).

Computed properties:
* magnetization: 0.04 μB/atom
* ΔE_f (raw): -7 kJ per mole of atoms
* energy relative to the lowest polymorph listed for this composition: 0 meV per atom
* V: 196.1 Å³/cell

a = 3.0276 Å, b = 3.0276 Å, c = 24.7059 Å
α = 90.00°, β = 90.00°, γ = 120.00°
Last column: nearest neighbours and their distance in Å.
Space group R-3m (No. 166, hexagonal axes)
Inequivalent atoms, fractional coordinates:
Be  0.0000  0.0000  0.0000  2 Cl 2.48
V  0.0000  0.0000  0.5000  6 Cl 2.39
Cl  0.0000  0.0000  0.1004  3 V 2.39, 1 Be 2.48

=====

no.,DOS(E_F) (states/eV/cell)
1,2.57
2,18.32
3,3.22
4,4.18